[1]
# SmY2Pd2 | Alexandria via LeMat-Bulk | PBE-GGA | optimized geometry
data_SmY2Pd2
_symmetry_space_group_name_H-M 'P 4/m b m'
_symmetry_Int_Tables_number 127
_symmetry_space_group_name_Hall '-P 4 2ab'
_cell_length_a 7.884
_cell_length_b 7.884
_cell_length_c 3.961
_cell_angle_alpha 90.00
_cell_angle_beta 90.00
_cell_angle_gamma 90.00
loop_
_atom_site_label
_atom_site_type_symbol
_atom_site_fract_x
_atom_site_fract_y
_atom_site_fract_z
_atom_site_occupancy
Sm1 Sm 0.000 0.000 0.000 1
Y1 Y 0.164 0.336 0.500 1
Pd1 Pd 0.131 0.631 0.000 1
# Uncorrected energy = -62.992 eV/cell
# Distance to the lowest polymorph of the same formula = 0 meV/atom
# Formation enthalpy at 0 K = -3.46 eV per formula unit
# Total moment = 0.00 Bohr magnetons per cell

=====

[2]
# Er2AlGe3Ir4 | Alexandria via LeMat-Bulk | PBE-GGA | optimized geometry
data_Er2AlGe3Ir4
_symmetry_space_group_name_H-M 'P -4 m 2'
_symmetry_Int_Tables_number 115
_cell_length_a 4.144
_cell_length_b 4.144
_cell_length_c 10.426
_cell_angle_alpha 90.00
_cell_angle_beta 90.00
_cell_angle_gamma 90.00
loop_
_symmetry_equiv_pos_as_xyz
'x,y,z'
'y,-x,-z'
'-x,-y,z'
'-y,x,-z'
'-x,y,z'
'-y,-x,-z'
'x,-y,z'
'y,x,-z'
loop_
_atom_site_label
_atom_site_type_symbol
_atom_site_fract_x
_atom_site_fract_y
_atom_site_fract_z
_atom_site_occupancy
Er1 Er 0.000 0.500 0.246 1
Al1 Al 0.000 0.000 0.500 1
Ge1 Ge 0.000 0.500 0.868 1
Ge2 Ge 0.500 0.500 0.500 1
Ir1 Ir 0.000 0.000 0.000 1
Ir2 Ir 0.000 0.500 0.636 1
Ir3 Ir 0.500 0.500 0.000 1
# Uncorrected energy = -70.150 eV/cell
# Formation enthalpy at 0 K = -7.99 eV per formula unit
# Total moment = 0.00 Bohr magnetons per cell

=====

[3]
# Ag2Hg2Pd | Alexandria via LeMat-Bulk | PBE-GGA | optimized geometry
data_Ag2Hg2Pd
_symmetry_space_group_name_H-M 'P 4/m b m'
_symmetry_Int_Tables_number 127
_symmetry_space_group_name_Hall '-P 4 2ab'
_cell_length_a 7.189
_cell_length_b 7.189
_cell_length_c 3.940
_cell_angle_alpha 90.00
_cell_angle_beta 90.00
_cell_angle_gamma 90.00
loop_
_atom_site_label
_atom_site_type_symbol
_atom_site_fract_x
_atom_site_fract_y
_atom_site_fract_z
_atom_site_occupancy
Ag1 Ag 0.137 0.363 0.000 1
Hg1 Hg 0.168 0.668 0.500 1
Pd1 Pd 0.000 0.000 0.000 1
# Uncorrected energy = -21.376 eV/cell
# Distance to the lowest polymorph of the same formula = 174 meV/atom
# Formation enthalpy at 0 K = 0.81 eV per formula unit
# Total moment = 0.00 Bohr magnetons per cell

=====

[4]
# CeTlSbO6 | Alexandria via LeMat-Bulk | PBE-GGA | optimized geometry
data_CeTlSbO6
_symmetry_space_group_name_H-M 'I m m a'
_symmetry_Int_Tables_number 74
_symmetry_space_group_name_Hall '-I 2b 2'
_cell_length_a 7.745
_cell_length_b 7.887
_cell_length_c 11.136
_cell_angle_alpha 90.00
_cell_angle_beta 90.00
_cell_angle_gamma 90.00
loop_
_atom_site_label
_atom_site_type_symbol
_atom_site_fract_x
_atom_site_fract_y
_atom_site_fract_z
_atom_site_occupancy
Ce1 Ce 0.000 0.000 0.000 1
Tl1 Tl 0.000 0.250 0.373 1
Sb1 Sb 0.250 0.250 0.750 1
O1 O 0.000 0.250 0.078 1
O2 O 0.000 0.250 0.700 1
O3 O 0.214 0.071 0.871 1
# Raw formation energy = -1.510 eV per atom
# Uncorrected energy = -223.032 eV/cell
# Total moment = 8.21 Bohr magnetons per cell

=====

[5]
# MgFeRe3 | Alexandria via LeMat-Bulk | PBE-GGA | optimized geometry
data_MgFeRe3
_symmetry_space_group_name_H-M 'P m -3 m'
_symmetry_Int_Tables_number 221
_symmetry_space_group_name_Hall '-P 4 2 3'
_cell_length_a 4.449
_cell_length_b 4.449
_cell_length_c 4.449
_cell_angle_alpha 90.00
_cell_angle_beta 90.00
_cell_angle_gamma 90.00
loop_
_atom_site_label
_atom_site_type_symbol
_atom_site_fract_x
_atom_site_fract_y
_atom_site_fract_z
_atom_site_occupancy
Mg1 Mg 0.000 0.000 0.000 1
Fe1 Fe 0.500 0.500 0.500 1
Re1 Re 0.000 0.500 0.500 1
# Uncorrected energy = -40.523 eV/cell
# Distance to the lowest polymorph of the same formula = 0 meV/atom
# Formation enthalpy at 0 K = 6.88 eV per formula unit
# Total moment = 0.00 Bohr magnetons per cell

=====

[6]
# Pm2ThPt3 | Alexandria via LeMat-Bulk | PBE-GGA | optimized geometry
data_Pm2ThPt3
_symmetry_space_group_name_H-M 'I 4/m m m'
_symmetry_Int_Tables_number 139
_symmetry_space_group_name_Hall '-I 4 2'
_cell_length_a 4.181
_cell_length_b 4.181
_cell_length_c 17.730
_cell_angle_alpha 90.00
_cell_angle_beta 90.00
_cell_angle_gamma 90.00
loop_
_atom_site_label
_atom_site_type_symbol
_atom_site_fract_x
_atom_site_fract_y
_atom_site_fract_z
_atom_site_occupancy
Pm1 Pm 0.000 0.000 0.167 1
Th1 Th 0.000 0.000 0.500 1
Pt1 Pt 0.000 0.000 0.000 1
Pt2 Pt 0.000 0.000 0.336 1
# Uncorrected energy = -83.775 eV/cell
# Distance to the lowest polymorph of the same formula = 5 meV/atom
# Formation enthalpy at 0 K = -6.84 eV per formula unit
# Total moment = 0.00 Bohr magnetons per cell

=====

[7]
# ThZnRu2 | Alexandria via LeMat-Bulk | PBE-GGA | optimized geometry
data_ThZnRu2
_symmetry_space_group_name_H-M 'P 4/m m m'
_symmetry_Int_Tables_number 123
_symmetry_space_group_name_Hall '-P 4 2'
_cell_length_a 4.342
_cell_length_b 4.342
_cell_length_c 3.764
_cell_angle_alpha 90.00
_cell_angle_beta 90.00
_cell_angle_gamma 90.00
loop_
_atom_site_label
_atom_site_type_symbol
_atom_site_fract_x
_atom_site_fract_y
_atom_site_fract_z
_atom_site_occupancy
Th1 Th 0.000 0.000 0.000 1
Zn1 Zn 0.500 0.500 0.000 1
Ru1 Ru 0.000 0.500 0.500 1
# Uncorrected energy = -28.228 eV/cell
# Formation enthalpy at 0 K = -0.98 eV per formula unit
# Total moment = 0.00 Bohr magnetons per cell

=====

[8]
# RbBi2Pb3 | Alexandria via LeMat-Bulk | PBE-GGA | optimized geometry
data_RbBi2Pb3
_symmetry_space_group_name_H-M 'C 1 2/m 1'
_symmetry_Int_Tables_number 12
_cell_length_a 20.142
_cell_length_b 5.369
_cell_length_c 10.164
_cell_angle_alpha 90.00
_cell_angle_beta 119.77
_cell_angle_gamma 90.00
loop_
_symmetry_equiv_pos_as_xyz
'x,y,z'
'-x,-y,-z'
'-x,y,-z'
'x,-y,z'
'x+1/2,y+1/2,z'
'-x+1/2,-y+1/2,-z'
'-x+1/2,y+1/2,-z'
'x+1/2,-y+1/2,z'
loop_
_atom_site_label
_atom_site_type_symbol
_atom_site_fract_x
_atom_site_fract_y
_atom_site_fract_z
_atom_site_occupancy
Rb1 Rb 0.143 0.000 0.227 1
Bi1 Bi 0.026 0.500 0.874 1
Bi2 Bi 0.197 0.000 0.702 1
Pb1 Pb 0.039 0.000 0.694 1
Pb2 Pb 0.086 0.500 0.502 1
Pb3 Pb 0.192 0.500 0.913 1
# Uncorrected energy = -82.029 eV/cell
# Distance to the lowest polymorph of the same formula = 0 meV/atom
# Formation enthalpy at 0 K = -0.65 eV per formula unit
# Total moment = 0.00 Bohr magnetons per cell

=====

[9]
# Ba4SiPd3 | Alexandria via LeMat-Bulk | PBE-GGA | optimized geometry
data_Ba4SiPd3
_symmetry_space_group_name_H-M 'P m m 2'
_symmetry_Int_Tables_number 25
_cell_length_a 4.611
_cell_length_b 4.745
_cell_length_c 11.868
_cell_angle_alpha 90.00
_cell_angle_beta 90.00
_cell_angle_gamma 90.00
loop_
_symmetry_equiv_pos_as_xyz
'x,y,z'
'-x,-y,z'
'-x,y,z'
'x,-y,z'
loop_
_atom_site_label
_atom_site_type_symbol
_atom_site_fract_x
_atom_site_fract_y
_atom_site_fract_z
_atom_site_occupancy
Ba1 Ba 0.000 0.000 0.000 1
Ba2 Ba 0.000 0.500 0.493 1
Ba3 Ba 0.500 0.000 0.276 1
Ba4 Ba 0.500 0.500 0.779 1
Si1 Si 0.500 0.000 0.593 1
Pd1 Pd 0.000 0.000 0.674 1
Pd2 Pd 0.000 0.500 0.205 1
Pd3 Pd 0.500 0.500 0.067 1
# Raw formation energy = -0.494 eV per atom
# Uncorrected energy = -32.647 eV/cell
# Total moment = 0.00 Bohr magnetons per cell

=====

[10]
# ScTa2Re | Alexandria via LeMat-Bulk | PBE-GGA | optimized geometry
data_ScTa2Re
_symmetry_space_group_name_H-M 'F m -3 m'
_symmetry_Int_Tables_number 225
_symmetry_space_group_name_Hall '-F 4 2 3'
_cell_length_a 6.550
_cell_length_b 6.550
_cell_length_c 6.550
_cell_angle_alpha 90.00
_cell_angle_beta 90.00
_cell_angle_gamma 90.00
loop_
_atom_site_label
_atom_site_type_symbol
_atom_site_fract_x
_atom_site_fract_y
_atom_site_fract_z
_atom_site_occupancy
Sc1 Sc 0.000 0.000 0.000 1
Ta1 Ta 0.250 0.250 0.250 1
Re1 Re 0.000 0.000 0.500 1
# Uncorrected energy = -170.357 eV/cell
# Distance to the lowest polymorph of the same formula = 70 meV/atom
# Formation enthalpy at 0 K = -0.10 eV per formula unit
# Total moment = 0.00 Bohr magnetons per cell

=====

[11]
# CeNpN2F | Alexandria via LeMat-Bulk | PBE-GGA | optimized geometry
data_CeNpN2F
_symmetry_space_group_name_H-M 'P 4/n m m'
_symmetry_Int_Tables_number 129
_cell_length_a 3.510
_cell_length_b 3.510
_cell_length_c 11.389
_cell_angle_alpha 90.00
_cell_angle_beta 90.00
_cell_angle_gamma 90.00
loop_
_symmetry_equiv_pos_as_xyz
'x,y,z'
'-x,-y,-z'
'-y+1/2,x,z'
'y+1/2,-x,-z'
'-x+1/2,-y+1/2,z'
'x+1/2,y+1/2,-z'
'y,-x+1/2,z'
'-y,x+1/2,-z'
'x+1/2,-y,-z'
'-x+1/2,y,z'
'-y,-x,-z'
'y,x,z'
'-x,y+1/2,-z'
'x,-y+1/2,z'
'y+1/2,x+1/2,-z'
'-y+1/2,-x+1/2,z'
loop_
_atom_site_label
_atom_site_type_symbol
_atom_site_fract_x
_atom_site_fract_y
_atom_site_fract_z
_atom_site_occupancy
Ce1 Ce 0.250 0.250 0.155 1
Np1 Np 0.250 0.250 0.605 1
N1 N 0.250 0.250 0.392 1
N2 N 0.250 0.250 0.787 1
F1 F 0.250 0.750 0.000 1
# Raw formation energy = -1.968 eV per atom
# Uncorrected energy = -94.474 eV/cell
# Total moment = 7.47 Bohr magnetons per cell

=====

[12]
# CaAlSiPt2 | Alexandria via LeMat-Bulk | PBE-GGA | optimized geometry
data_CaAlSiPt2
_symmetry_space_group_name_H-M 'I -4 m 2'
_symmetry_Int_Tables_number 119
_symmetry_space_group_name_Hall 'I -4 -2'
_cell_length_a 4.110
_cell_length_b 4.110
_cell_length_c 10.996
_cell_angle_alpha 90.00
_cell_angle_beta 90.00
_cell_angle_gamma 90.00
loop_
_atom_site_label
_atom_site_type_symbol
_atom_site_fract_x
_atom_site_fract_y
_atom_site_fract_z
_atom_site_occupancy
Ca1 Ca 0.000 0.000 0.000 1
Al1 Al 0.000 0.500 0.750 1
Si1 Si 0.000 0.500 0.250 1
Pt1 Pt 0.000 0.000 0.375 1
# Raw formation energy = -0.956 eV per atom
# Uncorrected energy = -56.059 eV/cell
# Total moment = 0.00 Bohr magnetons per cell